Crystalline Ho2Er2Ni3 at its relaxed geometry, computed with PBE-GGA.

abc: 3.981 6.662 6.693
angles: 79.69 89.94 72.64
Space group P-1 (No. 2)
One atom of each set of equivalent atoms:
Ho  0.124  0.252  0.384
Er  0.363  0.775  0.137
Ni  0.257  0.985  0.751
Ni  0.500  0.500  0.500

Output
Energy relative to the elements (eV per atom): -0.2414
Total magnetic moment (μB per formula unit): 0.0